[1]
DFT (GGA-PBE) results for a geometry-optimized LiTl2Cu structure.

Unit cell a=4.7406 b=4.7406 c=3.6184 alpha=90.00 beta=90.00 gamma=90.00
Positions (direct):
Li1 0.0000 0.0000 0.0000
Tl1 0.0000 0.5000 0.5000
Tl2 0.5000 0.0000 0.5000
Cu1 0.5000 0.5000 0.0000

- E_form (eV per atom) = 0.06

=====

[2]
DFT (GGA-PBE) results for a geometry-optimized Li2TlCu structure.

Unit cell a=8.2514 b=8.2514 c=8.2514 alpha=23.17 beta=23.17 gamma=23.17
Positions (direct):
Li1 0.2374 0.2374 0.2374
Li2 0.7626 0.7626 0.7626
Tl1 0.0000 0.0000 0.0000
Cu1 0.5000 0.5000 0.5000

- E_form (eV per atom) = 0.07

=====

[3]
DFT (GGA-PBE) results for a geometry-optimized LiTl2Cu structure.

Unit cell a=3.3539 b=3.4668 c=7.0948 alpha=90.00 beta=91.59 gamma=90.00
Positions (direct):
Li1 0.0000 0.0000 0.0000
Tl1 0.4920 0.5000 0.2636
Tl2 0.5080 0.5000 0.7364
Cu1 0.0000 0.0000 0.5000

- E_form (eV per atom) = 0.04

=====

[4]
DFT (GGA-PBE) results for a geometry-optimized LiTl2Cu2 structure.

Unit cell a=5.3855 b=5.3855 c=5.3855 alpha=122.29 beta=122.29 gamma=86.07
Positions (direct):
Li1 0.0000 0.0000 0.0000
Tl1 0.2500 0.7500 0.5000
Tl2 0.7500 0.2500 0.5000
Cu1 0.3495 0.3495 0.0000
Cu2 0.6505 0.6505 0.0000

- E_form (eV per atom) = 0.18
- excess energy over the best structure of this formula in the dataset (meV per atom) = 80